(1)
# Rb3AlCd (PBE-GGA, optimized geometry)
data_Rb3AlCd
_space_group_name_H-M_alt 'P m -3 m'
_space_group_IT_number 221
_space_group_name_Hall '-P 4 2 3'
_cell_length_a 7.0158
_cell_length_b 7.0158
_cell_length_c 7.0158
_cell_angle_alpha 90.00
_cell_angle_beta 90.00
_cell_angle_gamma 90.00
loop_
_atom_site_label
_atom_site_type_symbol
_atom_site_fract_x
_atom_site_fract_y
_atom_site_fract_z
Rb1 Rb 0.0000 0.0000 0.5000
Al1 Al 0.0000 0.0000 0.0000
Cd1 Cd 0.5000 0.5000 0.5000
# Excess energy over the best structure of this formula in the dataset (kcal/mol of atoms): 0.00
# Fermi-level density of states (states/eV per cell): 3.4

(2)
# Cs2Zn3Sb3 (PBE-GGA, optimized geometry)
data_Cs2Zn3Sb3
_space_group_name_H-M_alt 'P 63/m c m'
_space_group_IT_number 193
_space_group_name_Hall '-P 6c 2'
_cell_length_a 7.8200
_cell_length_b 7.8200
_cell_length_c 12.7490
_cell_angle_alpha 90.00
_cell_angle_beta 90.00
_cell_angle_gamma 120.00
loop_
_atom_site_label
_atom_site_type_symbol
_atom_site_fract_x
_atom_site_fract_y
_atom_site_fract_z
Cs1 Cs 0.3333 0.6667 0.0000
Zn1 Zn 0.0000 0.3288 0.2500
Sb1 Sb 0.0000 0.3365 0.7500
# Energy relative to the elements, uncorrected (eV per formula unit): -1.7
# Fermi-level density of states (states/eV per cell): 11.1

(3)
# Pu2PaSb2 (PBE-GGA, optimized geometry)
data_Pu2PaSb2
_space_group_name_H-M_alt 'C 1 2/m 1'
_space_group_IT_number 12
_space_group_name_Hall '-C 2y'
_cell_length_a 13.2405
_cell_length_b 3.9108
_cell_length_c 11.7826
_cell_angle_alpha 90.00
_cell_angle_beta 116.83
_cell_angle_gamma 90.00
loop_
_atom_site_label
_atom_site_type_symbol
_atom_site_fract_x
_atom_site_fract_y
_atom_site_fract_z
Pu1 Pu 0.0537 0.0000 0.3895
Pu2 Pu 0.1245 0.0000 0.1086
Pa1 Pa 0.2275 0.0000 0.8578
Sb1 Sb 0.0448 0.5000 0.8636
Sb2 Sb 0.1739 0.5000 0.6187
# Energy relative to the elements, uncorrected (eV per formula unit): -1.9
# Fermi-level density of states (states/eV per cell): 56.4

(4)
# Ce6MnSb15 (PBE-GGA, optimized geometry)
data_Ce6MnSb15
_space_group_name_H-M_alt 'C 1 m 1'
_space_group_IT_number 8
_space_group_name_Hall 'C -2y'
_cell_length_a 24.5799
_cell_length_b 4.3372
_cell_length_c 15.0238
_cell_angle_alpha 90.00
_cell_angle_beta 127.64
_cell_angle_gamma 90.00
loop_
_atom_site_label
_atom_site_type_symbol
_atom_site_fract_x
_atom_site_fract_y
_atom_site_fract_z
Ce1 Ce 0.0000 0.0000 0.0000
Ce2 Ce 0.0005 0.0000 0.2828
Ce3 Ce 0.0471 0.5000 0.6859
Ce4 Ce 0.1905 0.0000 0.3288
Ce5 Ce 0.2371 0.5000 0.0189
Ce6 Ce 0.2380 0.5000 0.7380
Mn1 Mn 0.3681 0.5000 0.7265
Sb1 Sb 0.0656 0.5000 0.2065
Sb2 Sb 0.0692 0.5000 0.4961
Sb3 Sb 0.0742 0.5000 0.9313
Sb4 Sb 0.1633 0.0000 0.5204
Sb5 Sb 0.1684 0.0000 0.0950
Sb6 Sb 0.1719 0.0000 0.8127
Sb7 Sb 0.2501 0.5000 0.5272
Sb8 Sb 0.2628 0.5000 0.2611
Sb9 Sb 0.3688 0.0000 0.1635
Sb10 Sb 0.3688 0.0000 0.4131
Sb11 Sb 0.3687 0.0000 0.6081
Sb12 Sb 0.3685 0.0000 0.8431
Sb13 Sb 0.3689 0.5000 0.0160
Sb14 Sb 0.4748 0.5000 0.4735
Sb15 Sb 0.4869 0.5000 0.7648
# Energy relative to the elements, uncorrected (eV per formula unit): -13.3
# Fermi-level density of states (states/eV per cell): 79.9

(5)
# HfIn2F (PBE-GGA, optimized geometry)
data_HfIn2F
_space_group_name_H-M_alt 'F m -3 m'
_space_group_IT_number 225
_space_group_name_Hall '-F 4 2 3'
_cell_length_a 6.9826
_cell_length_b 6.9826
_cell_length_c 6.9826
_cell_angle_alpha 90.00
_cell_angle_beta 90.00
_cell_angle_gamma 90.00
loop_
_atom_site_label
_atom_site_type_symbol
_atom_site_fract_x
_atom_site_fract_y
_atom_site_fract_z
Hf1 Hf 0.0000 0.0000 0.0000
In1 In 0.2500 0.2500 0.2500
F1 F 0.0000 0.0000 0.5000
# Energy relative to the elements, uncorrected (eV per formula unit): -1.0
# Excess energy over the best structure of this formula in the dataset (kcal/mol of atoms): 2.61
# Fermi-level density of states (states/eV per cell): 8.8

(6)
# HfAlBr3 (PBE-GGA, optimized geometry)
data_HfAlBr3
_space_group_name_H-M_alt 'P m -3 m'
_space_group_IT_number 221
_space_group_name_Hall '-P 4 2 3'
_cell_length_a 5.2283
_cell_length_b 5.2283
_cell_length_c 5.2283
_cell_angle_alpha 90.00
_cell_angle_beta 90.00
_cell_angle_gamma 90.00
loop_
_atom_site_label
_atom_site_type_symbol
_atom_site_fract_x
_atom_site_fract_y
_atom_site_fract_z
Hf1 Hf 0.0000 0.0000 0.0000
Al1 Al 0.5000 0.5000 0.5000
Br1 Br 0.0000 0.5000 0.5000
# Energy relative to the elements, uncorrected (eV per formula unit): 1.6
# Excess energy over the best structure of this formula in the dataset (kcal/mol of atoms): 15.03
# Fermi-level density of states (states/eV per cell): 7.2

(7)
# Pa3Ga (PBE-GGA, optimized geometry)
data_Pa3Ga
_space_group_name_H-M_alt 'I 4/m m m'
_space_group_IT_number 139
_space_group_name_Hall '-I 4 2'
_cell_length_a 4.4907
_cell_length_b 4.4907
_cell_length_c 9.0241
_cell_angle_alpha 90.00
_cell_angle_beta 90.00
_cell_angle_gamma 90.00
loop_
_atom_site_label
_atom_site_type_symbol
_atom_site_fract_x
_atom_site_fract_y
_atom_site_fract_z
Pa1 Pa 0.0000 0.0000 0.0000
Pa2 Pa 0.0000 0.5000 0.2500
Ga1 Ga 0.0000 0.0000 0.5000
# Excess energy over the best structure of this formula in the dataset (kcal/mol of atoms): 0.05
# Fermi-level density of states (states/eV per cell): 16.2

(8)
# Zr2BeAs (PBE-GGA, optimized geometry)
data_Zr2BeAs
_space_group_name_H-M_alt 'P 1 21/m 1'
_space_group_IT_number 11
_space_group_name_Hall '-P 2yb'
_cell_length_a 5.3034
_cell_length_b 3.6533
_cell_length_c 7.5505
_cell_angle_alpha 90.00
_cell_angle_beta 110.16
_cell_angle_gamma 90.00
loop_
_atom_site_label
_atom_site_type_symbol
_atom_site_fract_x
_atom_site_fract_y
_atom_site_fract_z
Zr1 Zr 0.2137 0.2500 0.4223
Zr2 Zr 0.2711 0.7500 0.0698
Be1 Be 0.1344 0.2500 0.7867
As1 As 0.3537 0.7500 0.7164
# Excess energy over the best structure of this formula in the dataset (kcal/mol of atoms): 0.00
# Fermi-level density of states (states/eV per cell): 4.3

(9)
TbTmH8Ir2 | PBE-GGA | optimized geometry

Geometry as CIF:
```
data_TbTmH8Ir2
_space_group_name_H-M_alt 'C 1 2/m 1'
_space_group_IT_number 12
_space_group_name_Hall '-C 2y'
_cell_length_a 9.9222
_cell_length_b 4.4172
_cell_length_c 6.7396
_cell_angle_alpha 90.00
_cell_angle_beta 127.99
_cell_angle_gamma 90.00
loop_
_atom_site_label
_atom_site_type_symbol
_atom_site_fract_x
_atom_site_fract_y
_atom_site_fract_z
Tb1 Tb 0.0000 0.0000 0.0000
Tm1 Tm 0.0000 0.5000 0.5000
H1 H 0.0303 0.5000 0.1821
H2 H 0.0422 0.0000 0.3986
H3 H 0.2413 0.2505 0.8130
Ir1 Ir 0.2487 0.5000 0.3705
```

(10)
# HgH6Pt3 (PBE-GGA, optimized geometry)
data_HgH6Pt3
_space_group_name_H-M_alt 'C m c 21'
_space_group_IT_number 36
_space_group_name_Hall 'C 2c -2'
_cell_length_a 7.1074
_cell_length_b 11.9171
_cell_length_c 5.4954
_cell_angle_alpha 90.00
_cell_angle_beta 90.00
_cell_angle_gamma 90.00
loop_
_atom_site_label
_atom_site_type_symbol
_atom_site_fract_x
_atom_site_fract_y
_atom_site_fract_z
Hg1 Hg 0.0000 0.2436 0.0000
H1 H 0.0000 0.0454 0.6574
H2 H 0.0000 0.4106 0.6538
H3 H 0.1503 0.2043 0.4849
H4 H 0.2467 0.0061 0.4189
Pt1 Pt 0.0000 0.4925 0.9138
Pt2 Pt 0.2127 0.1124 0.6811
# Fermi-level density of states (states/eV per cell): 3.6

(11)
# Sr2LaEu (PBE-GGA, optimized geometry)
data_Sr2LaEu
_space_group_name_H-M_alt 'P 4/m m m'
_space_group_IT_number 123
_space_group_name_Hall '-P 4 2'
_cell_length_a 6.4241
_cell_length_b 6.4241
_cell_length_c 4.4691
_cell_angle_alpha 90.00
_cell_angle_beta 90.00
_cell_angle_gamma 90.00
loop_
_atom_site_label
_atom_site_type_symbol
_atom_site_fract_x
_atom_site_fract_y
_atom_site_fract_z
Sr1 Sr 0.0000 0.5000 0.0000
La1 La 0.0000 0.0000 0.5000
Eu1 Eu 0.5000 0.5000 0.5000
# Fermi-level density of states (states/eV per cell): 4.9

(12)
# HfMnPb (PBE-GGA, optimized geometry)
data_HfMnPb
_space_group_name_H-M_alt 'C m c m'
_space_group_IT_number 63
_space_group_name_Hall '-C 2c 2'
_cell_length_a 4.1017
_cell_length_b 16.0515
_cell_length_c 3.6980
_cell_angle_alpha 90.00
_cell_angle_beta 90.00
_cell_angle_gamma 90.00
loop_
_atom_site_label
_atom_site_type_symbol
_atom_site_fract_x
_atom_site_fract_y
_atom_site_fract_z
Hf1 Hf 0.0000 0.0835 0.2500
Mn1 Mn 0.0000 0.4667 0.2500
Pb1 Pb 0.0000 0.2996 0.2500
# Excess energy over the best structure of this formula in the dataset (kcal/mol of atoms): 0.03
# Fermi-level density of states (states/eV per cell): 6.3

(13)
# KRb4Ge3I12 (PBE-GGA, optimized geometry)
data_KRb4Ge3I12
_space_group_name_H-M_alt 'I m -3 m'
_space_group_IT_number 229
_space_group_name_Hall '-I 4 2 3'
_cell_length_a 12.1376
_cell_length_b 12.1376
_cell_length_c 12.1376
_cell_angle_alpha 90.00
_cell_angle_beta 90.00
_cell_angle_gamma 90.00
loop_
_atom_site_label
_atom_site_type_symbol
_atom_site_fract_x
_atom_site_fract_y
_atom_site_fract_z
K1 K 0.0000 0.0000 0.0000
Rb1 Rb 0.2500 0.2500 0.2500
Ge1 Ge 0.0000 0.0000 0.5000
I1 I 0.0000 0.0000 0.2656
I2 I 0.0000 0.2500 0.5000
# Energy relative to the elements, uncorrected (eV per formula unit): -16.3
# Fermi-level density of states (states/eV per cell): 21.8

Here are the calculated final energy numbers, same order: -5.63; -39.29; -193.08; -239.89; -73.31; -17.08; -64.23; -57.29; -118.89; -151.60; -17.99; -91.28; -107.47 (eV/cell).
Here are the calculated magnetization numbers, same order: 0.0; 0.0; 2.4; 1.6; 0.0; 2.3; 0.0; 0.0; 0.0; 0.0; 7.3; 0.0; 0.0 (μB/cell).